P:
An optimized crystal structure of Nd8Cu2Rh, computed with GGA-PBE.

Cell: 7.8408 7.8408 6.2649 Å, 104.00 104.00 108.35°
Sites, in units of the cell vectors:
Nd (0.0000, 0.0000, 0.0000)
Nd (0.2171, 0.5139, 0.1812)
Nd (0.2705, 0.9810, 0.5372)
Nd (0.4648, 0.7367, 0.8566)
Nd (0.5139, 0.2171, 0.1812)
Nd (0.7358, 0.7358, 0.4344)
Nd (0.7367, 0.4648, 0.8566)
Nd (0.9810, 0.2705, 0.5372)
Cu (0.0707, 0.6822, 0.7372)
Cu (0.6822, 0.0707, 0.7372)
Rh (0.3543, 0.3543, 0.4991)

## Properties
Its symmetry is Cm (8). The density of states at the Fermi level is 14.3 states/eV per cell. The volume is 333 Å³/f.u.

Q:
An optimized crystal structure of Nd8Cu2Rh, computed with GGA-PBE.

Cell: 9.3079 9.3079 6.9022 Å, 101.52 101.52 32.32°
Sites, in units of the cell vectors:
Nd (0.0326, 0.0326, 0.2863)
Nd (0.2002, 0.2002, 0.8363)
Nd (0.3360, 0.3360, 0.5287)
Nd (0.4115, 0.4115, 0.0581)
Nd (0.5885, 0.5885, 0.9419)
Nd (0.6640, 0.6640, 0.4713)
Nd (0.7998, 0.7998, 0.1637)
Nd (0.9674, 0.9674, 0.7137)
Cu (0.1914, 0.1914, 0.2420)
Cu (0.8086, 0.8086, 0.7580)
Rh (0.5000, 0.5000, 0.5000)

## Properties
Its symmetry is C2/m (12). The density of states at the Fermi level is 11.8 states/eV per cell. The volume is 313 Å³/f.u.

The structure with the greatest stability is Q.

P:
An optimized crystal structure of Nd4CuRh, computed with GGA-PBE.

Cell: 7.9968 7.9968 7.9968 Å, 106.66 106.66 115.25°
Sites, in units of the cell vectors:
Nd (0.1831, 0.4845, 0.6986)
Nd (0.2345, 0.0359, 0.8014)
Nd (0.2345, 0.4331, 0.1986)
Nd (0.3008, 0.0000, 0.3008)
Nd (0.6992, 0.0000, 0.6992)
Nd (0.7500, 0.5508, 0.8008)
Nd (0.7500, 0.9492, 0.1992)
Nd (0.7859, 0.4845, 0.3014)
Cu (0.2389, 0.7389, 0.5000)
Cu (0.4889, 0.4889, 0.0000)
Rh (0.7421, 0.2421, 0.5000)
Rh (0.9921, 0.9921, 0.0000)

## Properties
Its symmetry is I4_1md (109). The density of states at the Fermi level is 16.1 states/eV per cell. The volume is 195 Å³/f.u.

Q:
An optimized crystal structure of Nd4CuRh, computed with GGA-PBE.

Cell: 9.7848 9.7848 9.7848 Å, 60.00 60.00 60.00°
Sites, in units of the cell vectors:
Nd (0.0596, 0.0596, 0.4404)
Nd (0.0596, 0.4404, 0.0596)
Nd (0.0596, 0.4404, 0.4404)
Nd (0.1818, 0.6061, 0.6061)
Nd (0.1868, 0.1868, 0.8132)
Nd (0.1868, 0.8132, 0.1868)
Nd (0.1868, 0.8132, 0.8132)
Nd (0.4404, 0.0596, 0.0596)
Nd (0.4404, 0.0596, 0.4404)
Nd (0.4404, 0.4404, 0.0596)
Nd (0.6061, 0.1818, 0.6061)
Nd (0.6061, 0.6061, 0.1818)
Nd (0.6061, 0.6061, 0.6061)
Nd (0.8132, 0.1868, 0.1868)
Nd (0.8132, 0.1868, 0.8132)
Nd (0.8132, 0.8132, 0.1868)
Cu (0.4744, 0.8419, 0.8419)
Cu (0.8419, 0.4744, 0.8419)
Cu (0.8419, 0.8419, 0.4744)
Cu (0.8419, 0.8419, 0.8419)
Rh (0.3936, 0.3936, 0.3936)
Rh (0.3936, 0.3936, 0.8193)
Rh (0.3936, 0.8193, 0.3936)
Rh (0.8193, 0.3936, 0.3936)

## Properties
Its symmetry is F-43m (216). The density of states at the Fermi level is 23.1 states/eV per cell. The volume is 166 Å³/f.u.

The structure with the greatest stability is Q.

P:
An optimized crystal structure of NdScCu, computed with GGA-PBE.

Cell: 4.6390 4.6390 3.8761 Å, 90.00 90.00 120.00°
Sites, in units of the cell vectors:
Nd (0.0000, 0.0000, 0.0000)
Sc (0.6667, 0.3333, 0.5000)
Cu (0.3333, 0.6667, 0.5000)

## Properties
Its symmetry is P-6m2 (187). The density of states at the Fermi level is 4.0 states/eV per cell. The volume is 72 Å³/f.u.

Q:
An optimized crystal structure of NdScCu, computed with GGA-PBE.

Cell: 6.4993 6.4993 6.4993 Å, 149.52 149.52 43.65°
Sites, in units of the cell vectors:
Nd (0.0000, 0.0000, 0.0000)
Sc (0.2812, 0.2812, 0.0000)
Cu (0.6725, 0.6725, 0.0000)

## Properties
Its symmetry is I4mm (107). The density of states at the Fermi level is 3.6 states/eV per cell. The volume is 70 Å³/f.u.

The structure with the greatest stability is Q.

P:
An optimized crystal structure of NdSm3Cu2, computed with GGA-PBE.

Cell: 8.5229 8.5229 8.5229 Å, 131.84 72.74 129.02°
Sites, in units of the cell vectors:
Nd (0.0000, 0.0000, 0.0000)
Nd (0.5000, 0.5000, 0.0000)
Sm (0.0147, 0.2500, 0.7647)
Sm (0.2500, 0.7500, 0.5000)
Sm (0.4853, 0.2500, 0.2353)
Sm (0.5147, 0.7500, 0.7647)
Sm (0.7500, 0.2500, 0.5000)
Sm (0.9853, 0.7500, 0.2353)
Cu (0.1416, 0.7043, 0.8459)
Cu (0.3584, 0.2043, 0.5626)
Cu (0.6416, 0.7957, 0.4374)
Cu (0.8584, 0.2957, 0.1541)

## Properties
Its symmetry is Ibam (72). The density of states at the Fermi level is 18.1 states/eV per cell. The volume is 175 Å³/f.u.

Q:
An optimized crystal structure of NdSm3Cu2, computed with GGA-PBE.

Cell: 3.5750 3.5750 12.4132 Å, 90.00 90.00 90.00°
Sites, in units of the cell vectors:
Nd (0.0000, 0.0000, 0.0000)
Sm (0.5000, 0.5000, 0.2191)
Sm (0.5000, 0.5000, 0.5000)
Sm (0.5000, 0.5000, 0.7809)
Cu (0.0000, 0.0000, 0.3574)
Cu (0.0000, 0.0000, 0.6426)

## Properties
Its symmetry is P4/mmm (123). The density of states at the Fermi level is 6.2 states/eV per cell. The volume is 159 Å³/f.u.

The structure with the greatest stability is Q.

P:
An optimized crystal structure of Nd2SmCu, computed with GGA-PBE.

Cell: 10.2941 10.2941 10.2941 Å, 20.86 20.86 20.86°
Sites, in units of the cell vectors:
Nd (0.0000, 0.0000, 0.0000)
Nd (0.1975, 0.1975, 0.1975)
Sm (0.7657, 0.7657, 0.7657)
Cu (0.5986, 0.5986, 0.5986)

## Properties
Its symmetry is R3m (160). The density of states at the Fermi level is 5.0 states/eV per cell. The volume is 121 Å³/f.u.

Q:
An optimized crystal structure of Nd2SmCu, computed with GGA-PBE.

Cell: 7.0387 10.1313 6.5796 Å, 90.00 90.00 90.00°
Sites, in units of the cell vectors:
Nd (0.1928, 0.0587, 0.1753)
Nd (0.1928, 0.4413, 0.1753)
Nd (0.3072, 0.5587, 0.6753)
Nd (0.3072, 0.9413, 0.6753)
Nd (0.6928, 0.0587, 0.3247)
Nd (0.6928, 0.4413, 0.3247)
Nd (0.8072, 0.5587, 0.8247)
Nd (0.8072, 0.9413, 0.8247)
Sm (0.0228, 0.2500, 0.6411)
Sm (0.4772, 0.7500, 0.1411)
Sm (0.5228, 0.2500, 0.8589)
Sm (0.9772, 0.7500, 0.3589)
Cu (0.1022, 0.7500, 0.9362)
Cu (0.3978, 0.2500, 0.4362)
Cu (0.6022, 0.7500, 0.5638)
Cu (0.8978, 0.2500, 0.0638)

## Properties
Its symmetry is Pnma (62). The density of states at the Fermi level is 17.7 states/eV per cell. The volume is 117 Å³/f.u.

R:
An optimized crystal structure of Nd2SmCu, computed with GGA-PBE.

Cell: 5.0093 7.7657 6.4453 Å, 90.00 112.77 90.00°
Sites, in units of the cell vectors:
Nd (0.1455, 0.0297, 0.2909)
Nd (0.1455, 0.4703, 0.2909)
Nd (0.8545, 0.5297, 0.7091)
Nd (0.8545, 0.9703, 0.7091)
Sm (0.4538, 0.2500, 0.9082)
Sm (0.5462, 0.7500, 0.0918)
Cu (0.2996, 0.7500, 0.5990)
Cu (0.7004, 0.2500, 0.4010)

## Properties
Its symmetry is P2_1/m (11). The density of states at the Fermi level is 9.3 states/eV per cell. The volume is 116 Å³/f.u.

The structure with the greatest stability is Q.

P:
An optimized crystal structure of Nd2SmCu, computed with GGA-PBE.

Cell: 3.6329 3.6329 8.7783 Å, 90.00 90.00 90.00°
Sites, in units of the cell vectors:
Nd (0.0000, 0.0000, 0.1988)
Nd (0.0000, 0.0000, 0.8012)
Sm (0.5000, 0.5000, 0.5000)
Cu (0.5000, 0.5000, 0.0000)

## Properties
Its symmetry is P4/mmm (123). The density of states at the Fermi level is 5.4 states/eV per cell. The volume is 116 Å³/f.u.

Q:
An optimized crystal structure of Nd2SmCu, computed with GGA-PBE.

Cell: 10.4046 10.4046 10.4046 Å, 20.41 20.41 20.41°
Sites, in units of the cell vectors:
Nd (0.2352, 0.2352, 0.2352)
Nd (0.7648, 0.7648, 0.7648)
Sm (0.0000, 0.0000, 0.0000)
Cu (0.5000, 0.5000, 0.5000)

## Properties
Its symmetry is R-3m (166). The density of states at the Fermi level is 4.3 states/eV per cell. The volume is 120 Å³/f.u.

The structure with the greatest stability is P.

P:
An optimized crystal structure of NdSm2Cu2, computed with GGA-PBE.

Cell: 3.6112 5.2010 13.3841 Å, 90.00 97.71 90.00°
Sites, in units of the cell vectors:
Nd (0.1410, 0.2500, 0.2819)
Nd (0.8590, 0.7500, 0.7181)
Sm (0.0479, 0.7500, 0.0941)
Sm (0.2308, 0.7500, 0.4605)
Sm (0.7692, 0.2500, 0.5395)
Sm (0.9521, 0.2500, 0.9059)
Cu (0.3582, 0.2500, 0.7197)
Cu (0.4565, 0.7500, 0.9114)
Cu (0.5435, 0.2500, 0.0886)
Cu (0.6418, 0.7500, 0.2803)

## Properties
Its symmetry is P2_1/m (11). The density of states at the Fermi level is 9.3 states/eV per cell. The volume is 125 Å³/f.u.

Q:
An optimized crystal structure of NdSm2Cu2, computed with GGA-PBE.

Cell: 5.0421 4.7262 11.0564 Å, 90.00 97.71 90.00°
Sites, in units of the cell vectors:
Nd (0.1924, 0.2500, 0.2433)
Nd (0.8076, 0.7500, 0.7567)
Sm (0.2470, 0.7500, 0.4912)
Sm (0.3467, 0.2500, 0.8843)
Sm (0.6533, 0.7500, 0.1157)
Sm (0.7530, 0.2500, 0.5088)
Cu (0.1164, 0.7500, 0.0039)
Cu (0.2902, 0.2500, 0.6352)
Cu (0.7098, 0.7500, 0.3648)
Cu (0.8836, 0.2500, 0.9961)

## Properties
Its symmetry is P2_1/m (11). The density of states at the Fermi level is 10.2 states/eV per cell. The volume is 131 Å³/f.u.

The structure with the greatest stability is P.

P:
An optimized crystal structure of Nd3SmCu2, computed with GGA-PBE.

Cell: 8.5816 8.5816 8.5816 Å, 132.13 72.73 128.76°
Sites, in units of the cell vectors:
Nd (0.0164, 0.7500, 0.2664)
Nd (0.2500, 0.2500, 0.0000)
Nd (0.4836, 0.7500, 0.7336)
Nd (0.5164, 0.2500, 0.2664)
Nd (0.7500, 0.7500, 0.0000)
Nd (0.9836, 0.2500, 0.7336)
Sm (0.0000, 0.5000, 0.5000)
Sm (0.5000, 0.0000, 0.5000)
Cu (0.1404, 0.2043, 0.3446)
Cu (0.3596, 0.7043, 0.0639)
Cu (0.6404, 0.2957, 0.9361)
Cu (0.8596, 0.7957, 0.6554)

## Properties
Its symmetry is Ibam (72). The density of states at the Fermi level is 18.9 states/eV per cell. The volume is 179 Å³/f.u.

Q:
An optimized crystal structure of Nd3SmCu2, computed with GGA-PBE.

Cell: 5.0261 9.0199 7.0742 Å, 90.00 90.00 90.00°
Sites, in units of the cell vectors:
Nd (0.0000, 0.0775, 0.0000)
Nd (0.0000, 0.3398, 0.3648)
Nd (0.0000, 0.6602, 0.8648)
Nd (0.0000, 0.9225, 0.5000)
Nd (0.5000, 0.1620, 0.6510)
Nd (0.5000, 0.8380, 0.1510)
Sm (0.5000, 0.4236, 0.0168)
Sm (0.5000, 0.5764, 0.5168)
Cu (0.0000, 0.3487, 0.7711)
Cu (0.0000, 0.6513, 0.2711)
Cu (0.5000, 0.1540, 0.2449)
Cu (0.5000, 0.8460, 0.7449)

## Properties
Its symmetry is Pmc2_1 (26). The density of states at the Fermi level is 12.0 states/eV per cell. The volume is 160 Å³/f.u.

The structure with the greatest stability is Q.